(1)
VASP calculation (PBE-GGA) on CdPtSO after structural relaxation.

Cell lengths 3.937, 3.937, 8.376 Å; angles 90.00, 90.00, 90.00 degrees
Sites, in units of the cell vectors:
Cd: 0.250 0.750 0.000
Cd: 0.750 0.250 0.000
Pt: 0.250 0.250 0.242
Pt: 0.750 0.750 0.758
S: 0.250 0.250 0.686
S: 0.750 0.750 0.314
O: 0.250 0.250 0.506
O: 0.750 0.750 0.494

Summary:
Energy above the most stable polymorph in this dataset, meV/atom: 388
SG: P4/nmm, No. 129
Raw total energy, eV/cell: -32.48

(2)
VASP calculation (PBE-GGA) on ErZr2 after structural relaxation.

Cell lengths 7.495, 7.495, 7.495 Å; angles 154.97, 154.97, 35.70 degrees
Sites, in units of the cell vectors:
Er: 0.000 0.000 0.000
Zr: 0.327 0.327 0.000
Zr: 0.673 0.673 0.000

Summary:
SG: I4/mmm, No. 139
Calculated formation energy, eV/atom: 0.095
Raw total energy, eV/cell: -21.37

(3)
VASP calculation (PBE-GGA) on Y2Os3W2 after structural relaxation.

Cell lengths 7.779, 7.779, 7.779 Å; angles 34.25, 34.25, 34.25 degrees
Sites, in units of the cell vectors:
Y: 0.000 0.000 0.000
Y: 0.485 0.485 0.485
Os: 0.123 0.123 0.123
Os: 0.620 0.620 0.620
Os: 0.871 0.871 0.871
W: 0.243 0.243 0.243
W: 0.742 0.742 0.742

Summary:
SG: R3m, No. 160
Calculated formation energy, eV/atom: 0.260
Raw total energy, eV/cell: -70.71

(4)
VASP calculation (PBE-GGA) on AgSnPd after structural relaxation.

Cell lengths 4.472, 4.472, 4.472 Å; angles 60.00, 60.00, 60.00 degrees
Sites, in units of the cell vectors:
Ag: 0.000 0.000 0.000
Sn: 0.500 0.500 0.500
Pd: 0.250 0.250 0.250

Summary:
Energy above the most stable polymorph in this dataset, meV/atom: 0
SG: F-43m, No. 216
Raw total energy, eV/cell: -12.63

(5)
VASP calculation (PBE-GGA) on Y4ZnC2S after structural relaxation.

Cell lengths 3.682, 3.682, 13.800 Å; angles 90.00, 90.00, 120.00 degrees
Sites, in units of the cell vectors:
Y: 0.000 0.000 0.137
Y: 0.000 0.000 0.863
Y: 0.667 0.333 0.331
Y: 0.667 0.333 0.669
Zn: 0.000 0.000 0.500
C: 0.333 0.667 0.236
C: 0.333 0.667 0.764
S: 0.667 0.333 0.000

Summary:
SG: P-6m2, No. 187
Raw total energy, eV/cell: -55.64

(6)
VASP calculation (PBE-GGA) on BaAs4Au2 after structural relaxation.

Cell lengths 12.139, 11.750, 5.741 Å; angles 79.89, 72.36, 27.75 degrees
Sites, in units of the cell vectors:
Ba: 0.125 0.125 0.125
Ba: 0.875 0.875 0.875
As: 0.108 0.497 0.392
As: 0.392 0.503 0.108
As: 0.497 0.108 0.503
As: 0.497 0.608 0.503
As: 0.503 0.392 0.497
As: 0.503 0.892 0.497
As: 0.608 0.497 0.892
As: 0.892 0.503 0.608
Au: 0.040 0.040 0.710
Au: 0.290 0.290 0.960
Au: 0.710 0.710 0.040
Au: 0.960 0.960 0.290

Summary:
SG: Fddd, No. 70
Raw total energy, eV/cell: -60.14